Entry 1:
! CrBi2MoPt (GGA-PBE, optimized geometry); values from VASP
! Raw total energy = -5.8311 eV per atom
! Space-group type = P4/mmm (123)
! Calculated formation energy = 1020 meV per atom
! Crystal system = tetragonal
&SYSTEM
  ibrav = 0, nat = 5, ntyp = 4
/
ATOMIC_SPECIES
Cr 52.00 Cr.upf
Bi 208.98 Bi.upf
Mo 95.94 Mo.upf
Pt 195.08 Pt.upf
ATOMIC_POSITIONS crystal
Cr 0.000 0.000 0.000
Bi 0.000 0.500 0.500
Bi 0.500 0.000 0.500
Mo 0.500 0.500 0.500
Pt 0.500 0.500 0.000
CELL_PARAMETERS angstrom
5.312 0.000 0.000
0.000 5.312 0.000
0.000 0.000 4.952


Entry 2:
! SnNF2 (GGA-PBE, optimized geometry); values from VASP
! Raw total energy = -3.8394 eV per atom
! Polymorph energy (0 for the lowest one) = 1147 meV/atom
! Space-group type = R-3m (166)
! Crystal system = trigonal
! Uncorrected formation energy = 0.18 eV/atom
&SYSTEM
  ibrav = 0, nat = 4, ntyp = 3
/
ATOMIC_SPECIES
Sn 118.71 Sn.upf
N 14.01 N.upf
F 19.00 F.upf
ATOMIC_POSITIONS crystal
Sn 0.000 0.000 0.000
N 0.500 0.500 0.500
F 0.417 0.417 0.417
F 0.583 0.583 0.583
CELL_PARAMETERS angstrom
1.650 0.953 7.298
-1.650 0.953 7.298
0.000 -1.905 7.298


Entry 3:
! K4SrOs (GGA-PBE, optimized geometry); values from VASP
! Raw total energy = -1.7205 eV per atom
! Space-group type = F-43m (216)
! Calculated formation energy = 1163 meV per atom
! Crystal system = cubic
&SYSTEM
  ibrav = 0, nat = 6, ntyp = 3
/
ATOMIC_SPECIES
K 39.10 K.upf
Sr 87.62 Sr.upf
Os 190.23 Os.upf
ATOMIC_POSITIONS crystal
K 0.122 0.122 0.122
K 0.122 0.122 0.633
K 0.122 0.633 0.122
K 0.633 0.122 0.122
Sr 0.500 0.500 0.500
Os 0.750 0.750 0.750
CELL_PARAMETERS angstrom
0.000 5.087 5.087
5.087 0.000 5.087
5.087 5.087 0.000


Entry 4:
! Cs2CdHg4 (GGA-PBE, optimized geometry); values from VASP
! Raw total energy = -0.7484 eV per atom
! Polymorph energy (0 for the lowest one) = 0 meV/atom
! Space-group type = P2_1/m (11)
! Calculated formation energy = -201 meV per atom
! Crystal system = monoclinic
&SYSTEM
  ibrav = 0, nat = 14, ntyp = 3
/
ATOMIC_SPECIES
Cs 132.91 Cs.upf
Cd 112.41 Cd.upf
Hg 200.59 Hg.upf
ATOMIC_POSITIONS crystal
Cs 0.122 0.250 0.400
Cs 0.264 0.750 0.022
Cs 0.736 0.250 0.978
Cs 0.878 0.750 0.600
Cd 0.141 0.250 0.776
Cd 0.859 0.750 0.224
Hg 0.280 0.250 0.082
Hg 0.305 0.750 0.401
Hg 0.411 0.532 0.695
Hg 0.411 0.968 0.695
Hg 0.589 0.032 0.305
Hg 0.589 0.468 0.305
Hg 0.695 0.250 0.599
Hg 0.720 0.750 0.918
CELL_PARAMETERS angstrom
7.126 0.000 0.000
0.000 7.536 0.000
-2.898 0.000 10.115


Entry 5:
! BeNiIr (GGA-PBE, optimized geometry); values from VASP
! Raw total energy = -6.1725 eV per atom
! Polymorph energy (0 for the lowest one) = 229 meV/atom
! Space-group type = F-43m (216)
! Calculated formation energy = -50 meV per atom
! Crystal system = cubic
&SYSTEM
  ibrav = 0, nat = 3, ntyp = 3
/
ATOMIC_SPECIES
Be 9.01 Be.upf
Ni 58.69 Ni.upf
Ir 192.22 Ir.upf
ATOMIC_POSITIONS crystal
Be 0.000 0.000 0.000
Ni 0.750 0.750 0.750
Ir 0.250 0.250 0.250
CELL_PARAMETERS angstrom
0.000 2.616 2.616
2.616 0.000 2.616
2.616 2.616 0.000


Entry 6:
! Ta2TlHg (GGA-PBE, optimized geometry); values from VASP
! Raw total energy = -6.0930 eV per atom
! Space-group type = R-3m (166)
! Calculated formation energy = 500 meV per atom
! Crystal system = trigonal
&SYSTEM
  ibrav = 0, nat = 4, ntyp = 3
/
ATOMIC_SPECIES
Ta 180.95 Ta.upf
Tl 204.38 Tl.upf
Hg 200.59 Hg.upf
ATOMIC_POSITIONS crystal
Ta 0.249 0.249 0.249
Ta 0.751 0.751 0.751
Tl 0.000 0.000 0.000
Hg 0.500 0.500 0.500
CELL_PARAMETERS angstrom
1.536 0.887 9.852
-1.536 0.887 9.852
0.000 -1.773 9.852